(1)
Computed, not measured: an optimized crystal structure of CaPClF6 at the GGA-PBE level of DFT.

Results
uncorrected formation energy = -2.73 eV/atom
density of states at the Fermi level = 0.00 states/eV/cell
space group = No. 1

Cell lengths 7.283, 6.181, 4.998 Å; angles 92.20, 82.24, 43.15 degrees
Site moments in Bohr magnetons follow the coordinates.
Fractional positions:
1 Ca 0.728 0.461 0.518  0.00
2 P 0.339 0.329 0.499  0.00
3 Cl 0.881 0.276 0.981  0.05
4 F 0.056 0.468 0.427  0.00
5 F 0.423 0.009 0.588  0.00
6 F 0.626 0.179 0.573  0.00
7 F 0.173 0.520 0.809  0.00
8 F 0.268 0.634 0.413  0.00
9 F 0.508 0.124 0.191  0.00


(2)
Computed, not measured: an optimized crystal structure of Rb2CaCl2F2 at the GGA-PBE level of DFT.

Results
uncorrected formation energy = -2.75 eV/atom
density of states at the Fermi level = 0.00 states/eV/cell
space group = No. 139

Cell lengths 4.599, 4.599, 9.046 Å; angles 104.73, 104.73, 90.00 degrees
Fractional positions:
1 Rb 0.364 0.364 0.728
2 Rb 0.636 0.636 0.272
3 Ca 0.000 0.000 0.000
4 Cl 0.164 0.164 0.328
5 Cl 0.836 0.836 0.672
6 F 0.000 0.500 0.000
7 F 0.500 0.000 0.000


(3)
Computed, not measured: an optimized crystal structure of Rb2CaCl3F at the GGA-PBE level of DFT.

Results
uncorrected formation energy = -2.46 eV/atom
density of states at the Fermi level = 0.00 states/eV/cell
space group = No. 71

Cell lengths 4.438, 5.451, 9.346 Å; angles 106.95, 103.73, 90.00 degrees
Fractional positions:
1 Rb 0.648 0.648 0.296
2 Rb 0.352 0.352 0.704
3 Ca 0.000 0.000 0.000
4 Cl 0.000 0.500 0.000
5 Cl 0.162 0.162 0.324
6 Cl 0.838 0.838 0.676
7 F 0.500 0.000 0.000


(4)
Computed, not measured: an optimized crystal structure of Rb3Ca2Cl2F5 at the GGA-PBE level of DFT.

Results
uncorrected formation energy = -3.05 eV/atom
density of states at the Fermi level = 0.00 states/eV/cell
space group = No. 139

Cell lengths 4.566, 4.566, 13.354 Å; angles 99.84, 99.84, 90.00 degrees
Fractional positions:
1 Rb 0.176 0.176 0.352
2 Rb 0.824 0.824 0.648
3 Rb 0.000 0.000 0.000
4 Ca 0.414 0.414 0.828
5 Ca 0.586 0.586 0.172
6 Cl 0.694 0.694 0.388
7 Cl 0.306 0.306 0.612
8 F 0.586 0.086 0.171
9 F 0.414 0.914 0.829
10 F 0.086 0.586 0.171
11 F 0.914 0.414 0.829
12 F 0.500 0.500 0.000


(5)
Computed, not measured: an optimized crystal structure of CaRe2ClF at the GGA-PBE level of DFT.

Results
uncorrected formation energy = 1.38 eV/atom
density of states at the Fermi level = 0.00 states/eV/cell
space group = No. 123

Cell lengths 6.202, 4.251, 6.202 Å; angles 90.00, 90.00, 90.00 degrees
Site moments in Bohr magnetons follow the coordinates.
Fractional positions:
1 Re 0.000 0.000 0.500  3.90
2 Re 0.500 0.000 0.000  3.95
3 Ca 0.000 0.000 0.000  -0.02
4 F 0.000 0.500 0.000  0.03
5 Cl 0.500 0.500 0.500  0.18


(6)
Computed, not measured: an optimized crystal structure of CaS2ClF at the GGA-PBE level of DFT.

Results
relative energy among the computed polymorphs = 0.431 eV/atom
uncorrected formation energy = -0.25 eV/atom
density of states at the Fermi level = 5.97 states/eV/cell
space group = No. 123

Cell lengths 5.677, 5.677, 5.151 Å; angles 90.00, 90.00, 90.00 degrees
Site moments in Bohr magnetons follow the coordinates.
Fractional positions:
1 Ca 0.000 0.000 0.000  -0.01
2 F 0.500 0.500 0.500  0.48
3 S 0.000 0.500 0.000  0.99
4 S 0.500 0.000 0.000  0.99
5 Cl 0.000 0.000 0.500  0.12


(7)
Computed, not measured: an optimized crystal structure of CaSCl2F at the GGA-PBE level of DFT.

Results
relative energy among the computed polymorphs = 0.191 eV/atom
uncorrected formation energy = -0.68 eV/atom
density of states at the Fermi level = 6.93 states/eV/cell
space group = No. 123

Cell lengths 5.272, 5.272, 5.941 Å; angles 90.00, 90.00, 90.00 degrees
Site moments in Bohr magnetons follow the coordinates.
Fractional positions:
1 Ca 0.000 0.000 0.000  -0.01
2 F 0.500 0.500 0.500  0.56
3 S 0.000 0.000 0.500  1.11
4 Cl 0.000 0.500 0.000  0.20
5 Cl 0.500 0.000 0.000  0.20


(8)
Computed, not measured: an optimized crystal structure of CaSCl2F at the GGA-PBE level of DFT.

Results
relative energy among the computed polymorphs = 0.000 eV/atom
uncorrected formation energy = -0.87 eV/atom
density of states at the Fermi level = 2.25 states/eV/cell
space group = No. 123

Cell lengths 5.334, 5.334, 3.759 Å; angles 90.00, 90.00, 90.00 degrees
Site moments in Bohr magnetons follow the coordinates.
Fractional positions:
1 Ca 0.500 0.500 0.500  0.00
2 F 0.000 0.000 0.000  0.07
3 S 0.000 0.000 0.500  0.46
4 Cl 0.000 0.500 0.000  0.08
5 Cl 0.500 0.000 0.000  0.08


(9)
Computed, not measured: an optimized crystal structure of CaS2ClF at the GGA-PBE level of DFT.

Results
relative energy among the computed polymorphs = 0.000 eV/atom
uncorrected formation energy = -0.68 eV/atom
density of states at the Fermi level = 2.72 states/eV/cell
space group = No. 123

Cell lengths 4.202, 4.202, 5.646 Å; angles 90.00, 90.00, 90.00 degrees
Fractional positions:
1 Ca 0.500 0.500 0.500
2 F 0.000 0.000 0.000
3 S 0.000 0.500 0.000
4 S 0.500 0.000 0.000
5 Cl 0.000 0.000 0.500


(10)
Computed, not measured: an optimized crystal structure of CaSClF2 at the GGA-PBE level of DFT.

Results
uncorrected formation energy = -1.65 eV/atom
density of states at the Fermi level = 2.32 states/eV/cell
space group = No. 123

Cell lengths 4.294, 5.926, 4.294 Å; angles 90.00, 90.00, 90.00 degrees
Site moments in Bohr magnetons follow the coordinates.
Fractional positions:
1 Ca 0.000 0.000 0.000  0.00
2 F 0.000 0.000 0.500  0.05
3 F 0.500 0.000 0.000  0.04
4 S 0.500 0.500 0.500  1.39
5 Cl 0.000 0.500 0.000  0.35


(11)
Computed, not measured: an optimized crystal structure of CaTa2ClF at the GGA-PBE level of DFT.

Results
uncorrected formation energy = 1.78 eV/atom
density of states at the Fermi level = 6.83 states/eV/cell
space group = No. 123

Cell lengths 5.501, 5.021, 5.501 Å; angles 90.00, 90.00, 90.00 degrees
Site moments in Bohr magnetons follow the coordinates.
Fractional positions:
1 Ca 0.000 0.000 0.000  0.09
2 Cl 0.000 0.500 0.000  0.08
3 F 0.500 0.500 0.500  -0.02
4 Ta 0.000 0.000 0.500  1.41
5 Ta 0.500 0.000 0.000  1.51


(12)
Computed, not measured: an optimized crystal structure of CaTcCl2F at the GGA-PBE level of DFT.

Results
uncorrected formation energy = -0.89 eV/atom
density of states at the Fermi level = 2.77 states/eV/cell
space group = No. 123

Cell lengths 4.505, 5.970, 4.505 Å; angles 90.00, 90.00, 90.00 degrees
Site moments in Bohr magnetons follow the coordinates.
Fractional positions:
1 Ca 0.000 0.500 0.000  0.00
2 F 0.500 0.500 0.500  0.00
3 Tc 0.000 0.000 0.000  0.33
4 Cl 0.000 0.000 0.500  0.01
5 Cl 0.500 0.000 0.000  0.05


(13)
Computed, not measured: an optimized crystal structure of CaFe2Cl at the GGA-PBE level of DFT.

Results
relative energy among the computed polymorphs = 0.169 eV/atom
uncorrected formation energy = -0.05 eV/atom
density of states at the Fermi level = 1.70 states/eV/cell
space group = No. 8

Cell lengths 3.829, 3.829, 7.621 Å; angles 70.16, 70.16, 49.88 degrees
Site moments in Bohr magnetons follow the coordinates.
Fractional positions:
1 Ca 0.524 0.524 0.514  -0.07
2 Fe 0.945 0.945 0.945  2.73
3 Fe 0.705 0.705 0.796  2.30
4 Cl 0.325 0.325 0.245  0.01


(14)
Computed, not measured: an optimized crystal structure of CaFe2Cl at the GGA-PBE level of DFT.

Results
relative energy among the computed polymorphs = 1.119 eV/atom
uncorrected formation energy = 0.90 eV/atom
density of states at the Fermi level = 9.12 states/eV/cell
space group = No. 225

Cell lengths 4.716, 4.716, 4.716 Å; angles 60.00, 60.00, 60.00 degrees
Site moments in Bohr magnetons follow the coordinates.
Fractional positions:
1 Ca 0.500 0.500 0.500  -0.16
2 Fe 0.250 0.250 0.250  2.67
3 Fe 0.750 0.750 0.750  2.67
4 Cl 0.000 0.000 0.000  0.05


(15)
Computed, not measured: an optimized crystal structure of Ca3Fe5Cl12 at the GGA-PBE level of DFT.

Results
uncorrected formation energy = -1.05 eV/atom
density of states at the Fermi level = 124.30 states/eV/cell
space group = No. 230

Cell lengths 13.263, 13.263, 13.263 Å; angles 109.47, 109.47, 109.47 degrees
Site moments in Bohr magnetons follow the coordinates.
Fractional positions:
1 Ca 0.750 0.375 0.125  -0.01
2 Ca 0.875 0.750 0.125  -0.01
3 Ca 0.375 0.750 0.625  -0.01
4 Ca 0.250 0.125 0.375  -0.01
5 Ca 0.875 0.125 0.250  -0.01
6 Ca 0.375 0.625 0.250  -0.01
7 Ca 0.625 0.375 0.750  -0.01
8 Ca 0.125 0.875 0.750  -0.01
9 Ca 0.750 0.875 0.625  -0.01
10 Ca 0.625 0.250 0.375  -0.01
11 Ca 0.125 0.250 0.875  -0.01
12 Ca 0.250 0.625 0.875  -0.01
13 Fe 0.125 0.375 0.250  2.77
14 Fe 0.000 0.500 0.000  -2.95
15 Fe 0.000 0.000 0.000  -2.95
16 Fe 0.375 0.250 0.125  2.77
17 Fe 0.500 0.000 0.500  -2.95
18 Fe 0.500 0.500 0.000  -2.95
19 Fe 0.125 0.750 0.375  2.77
20 Fe 0.750 0.125 0.875  2.77
21 Fe 0.750 0.625 0.375  2.77
22 Fe 0.375 0.125 0.750  2.77
23 Fe 0.625 0.875 0.250  2.77
24 Fe 0.500 0.500 0.500  -2.95
25 Fe 0.500 0.000 0.000  -2.95
26 Fe 0.000 0.000 0.500  -2.95
27 Fe 0.250 0.375 0.625  2.77
28 Fe 0.250 0.875 0.125  2.77
29 Fe 0.000 0.500 0.500  -2.95
30 Fe 0.875 0.250 0.625  2.77
31 Fe 0.625 0.750 0.875  2.77
32 Fe 0.875 0.625 0.750  2.77
33 Cl 0.710 0.123 0.033  0.00
34 Cl 0.323 0.533 0.410  0.00
35 Cl 0.967 0.377 0.290  0.00
36 Cl 0.533 0.210 0.123  0.00
37 Cl 0.587 0.710 0.677  0.00
38 Cl 0.967 0.590 0.177  0.00
39 Cl 0.323 0.790 0.413  0.00
40 Cl 0.090 0.913 0.123  0.00
41 Cl 0.590 0.967 0.677  0.00
42 Cl 0.710 0.587 0.177  0.00
43 Cl 0.790 0.467 0.377  0.00
44 Cl 0.823 0.910 0.033  0.00
45 Cl 0.123 0.710 0.533  0.00
46 Cl 0.377 0.410 0.087  0.00
47 Cl 0.087 0.910 0.377  0.00
48 Cl 0.413 0.123 0.590  0.00
49 Cl 0.087 0.177 0.210  0.00
50 Cl 0.467 0.677 0.090  0.00
51 Cl 0.823 0.913 0.290  0.00
52 Cl 0.123 0.413 0.090  0.00
53 Cl 0.377 0.967 0.790  0.00
54 Cl 0.590 0.623 0.413  0.00
55 Cl 0.910 0.823 0.533  0.00
56 Cl 0.790 0.323 0.913  0.00
57 Cl 0.410 0.377 0.587  0.00
58 Cl 0.090 0.177 0.467  0.00
59 Cl 0.210 0.677 0.087  0.00
60 Cl 0.177 0.087 0.710  0.00
61 Cl 0.623 0.033 0.210  0.00
62 Cl 0.877 0.587 0.910  0.00
63 Cl 0.533 0.323 0.910  0.00
64 Cl 0.587 0.877 0.410  0.00
65 Cl 0.913 0.823 0.790  0.00
66 Cl 0.913 0.090 0.623  0.00
67 Cl 0.877 0.290 0.467  0.00
68 Cl 0.177 0.090 0.967  0.00
69 Cl 0.623 0.590 0.913  0.00
70 Cl 0.410 0.033 0.323  0.00
71 Cl 0.290 0.413 0.823  0.00
72 Cl 0.210 0.533 0.623  0.00
73 Cl 0.910 0.087 0.877  0.00
74 Cl 0.677 0.210 0.587  0.00
75 Cl 0.467 0.790 0.877  0.00
76 Cl 0.033 0.410 0.823  0.00
77 Cl 0.413 0.290 0.323  0.00
78 Cl 0.033 0.623 0.710  0.00
79 Cl 0.677 0.467 0.590  0.00
80 Cl 0.290 0.877 0.967  0.00


(16)
Computed, not measured: an optimized crystal structure of CaFeCl5 at the GGA-PBE level of DFT.

Results
uncorrected formation energy = -1.43 eV/atom
space group = No. 15

Cell lengths 7.240, 7.240, 10.083 Å; angles 69.12, 69.12, 87.14 degrees
Site moments in Bohr magnetons follow the coordinates.
Fractional positions:
1 Ca 0.000 0.000 0.000  0.01
2 Ca 0.000 0.000 0.500  0.01
3 Fe 0.399 0.601 0.750  3.75
4 Fe 0.601 0.399 0.250  3.75
5 Cl 0.079 0.921 0.250  -0.02
6 Cl 0.921 0.079 0.750  -0.02
7 Cl 0.275 0.342 0.330  0.19
8 Cl 0.658 0.725 0.170  0.19
9 Cl 0.748 0.300 0.056  0.18
10 Cl 0.700 0.252 0.444  0.18
11 Cl 0.252 0.700 0.944  0.18
12 Cl 0.300 0.748 0.556  0.18
13 Cl 0.342 0.275 0.830  0.19
14 Cl 0.725 0.658 0.670  0.19


(17)
Computed, not measured: an optimized crystal structure of CaFe2Cl at the GGA-PBE level of DFT.

Results
relative energy among the computed polymorphs = 0.123 eV/atom
uncorrected formation energy = -0.09 eV/atom
density of states at the Fermi level = 2.26 states/eV/cell
space group = No. 1

Cell lengths 3.951, 7.402, 6.351 Å; angles 148.44, 100.12, 95.99 degrees
Site moments in Bohr magnetons follow the coordinates.
Fractional positions:
1 Ca 0.506 0.442 0.968  -0.06
2 Fe 0.959 0.165 0.033  2.36
3 Fe 0.300 0.836 0.702  2.28
4 Cl 0.736 0.058 0.297  0.05


(18)
Computed, not measured: an optimized crystal structure of Ca4FeCl at the GGA-PBE level of DFT.

Results
uncorrected formation energy = 0.53 eV/atom
density of states at the Fermi level = 11.10 states/eV/cell
space group = No. 216

Cell lengths 6.819, 6.819, 6.819 Å; angles 60.00, 60.00, 60.00 degrees
Site moments in Bohr magnetons follow the coordinates.
Fractional positions:
1 Ca 0.878 0.374 0.374  -0.10
2 Ca 0.374 0.374 0.878  -0.10
3 Ca 0.374 0.878 0.374  -0.10
4 Ca 0.374 0.374 0.374  -0.10
5 Fe 0.000 0.000 0.000  3.11
6 Cl 0.750 0.750 0.750  -0.01


(19)
Computed, not measured: an optimized crystal structure of CaFe2Cl at the GGA-PBE level of DFT.

Results
relative energy among the computed polymorphs = 0.110 eV/atom
uncorrected formation energy = -0.11 eV/atom
density of states at the Fermi level = 2.48 states/eV/cell
space group = No. 71

Cell lengths 6.161, 6.161, 3.531 Å; angles 106.61, 106.61, 35.66 degrees
Site moments in Bohr magnetons follow the coordinates.
Fractional positions:
1 Ca 0.750 0.750 0.750  -0.07
2 Fe 0.027 0.027 0.027  2.90
3 Fe 0.473 0.473 0.473  2.90
4 Cl 0.250 0.250 0.250  0.02


(20)
Computed, not measured: an optimized crystal structure of CaFeCl6 at the GGA-PBE level of DFT.

Results
uncorrected formation energy = -1.14 eV/atom
density of states at the Fermi level = 6.65 states/eV/cell
space group = No. 148

Cell lengths 6.282, 6.283, 6.753 Å; angles 62.29, 62.29, 60.01 degrees
Site moments in Bohr magnetons follow the coordinates.
Fractional positions:
1 Ca 0.500 0.500 0.500  0.00
2 Fe 0.000 0.000 0.000  1.79
3 Cl 0.053 0.382 0.773  0.02
4 Cl 0.792 0.053 0.773  0.02
5 Cl 0.618 0.208 0.227  0.02
6 Cl 0.208 0.947 0.227  0.02
7 Cl 0.947 0.618 0.227  0.02
8 Cl 0.382 0.792 0.773  0.02